# 1
DFT (PBE) results for a relaxed structure of ErMg2Pd.

Unit cell a=3.3415 b=3.3415 c=7.6387 alpha=90.00 beta=90.00 gamma=90.00
Last column: nearest neighbours and their distance in Å.
Space group P4/mmm (No. 123)
Symmetry-distinct sites (fractional):
Er: 0.0000 0.0000 0.0000 (multiplicity 1)  8 Mg 3.34, 4 Er 3.34
Mg: 0.5000 0.5000 0.3083 (multiplicity 2)  4 Pd 2.78, 1 Mg 2.93
Pd: 0.0000 0.0000 0.5000 (multiplicity 1)  8 Mg 2.78

Results
As for the magnetization: 0.00 μB/f.u. For the density of states at the Fermi level, the calculation gives 0.85 states/eV per atom. The calculation puts the formation enthalpy at 0 K at -0.361 eV per atom.



# 2
DFT (PBE) results for a relaxed structure of Ce2VGeN5.

Unit cell a=3.2184 b=13.8303 c=9.9612 alpha=90.00 beta=90.00 gamma=90.00
Last column: nearest neighbours and their distance in Å.
Space group Cmc2_1 (No. 36)
Symmetry-distinct sites (fractional):
Ce: 0.0000 0.1169 0.0000 (multiplicity 4)  8 N 2.38-2.66
Ce: 0.0000 0.1384 0.6040 (multiplicity 4)  8 N 2.41-2.70
V: 0.0000 0.2222 0.3238 (multiplicity 4)  1 N 1.78
Ge: 0.0000 0.4480 0.7656 (multiplicity 4)  4 N 1.85-2.00
N: 0.0000 0.0483 0.3633 (multiplicity 4)  2 Ge 1.88
N: 0.0000 0.2858 0.9571 (multiplicity 4)  2 V 2.09
N: 0.0000 0.3140 0.6892 (multiplicity 4)  1 Ge 2.00, 2 V 2.15
N: 0.0000 0.3504 0.3140 (multiplicity 4)  1 V 1.78
N: 0.0000 0.4952 0.0973 (multiplicity 4)  1 Ge 1.85

Results
As for the magnetization: 1.13 μB/f.u. For the density of states at the Fermi level, the calculation gives 0.81 states/eV per atom. The value obtained for the formation energy (no corrections) is -0.92 eV/atom.



# 3
DFT (PBE) results for a relaxed structure of TmPuInPd.

Unit cell a=7.2827 b=7.2827 c=7.2827 alpha=90.00 beta=90.00 gamma=90.00
Last column: nearest neighbours and their distance in Å.
Space group F-43m (No. 216)
Symmetry-distinct sites (fractional):
Tm: 0.0000 0.0000 0.0000 (multiplicity 4)  4 In 3.15, 4 Pd 3.15
Pu: 0.0000 0.0000 0.5000 (multiplicity 4)  4 Pd 3.15, 4 In 3.15
In: 0.2500 0.2500 0.7500 (multiplicity 4)  4 Tm 3.15, 4 Pu 3.15
Pd: 0.2500 0.2500 0.2500 (multiplicity 4)  4 Tm 3.15, 4 Pu 3.15

Results
As for the magnetization: 5.47 μB/f.u. For the density of states at the Fermi level, the calculation gives 2.69 states/eV per atom. The calculation puts the formation enthalpy at 0 K at -0.350 eV per atom.



# 4
DFT (PBE) results for a relaxed structure of Ba8Na2Au3.

Unit cell a=10.6528 b=5.8296 c=10.7005 alpha=90.00 beta=113.31 gamma=90.00
Last column: nearest neighbours and their distance in Å.
Space group P2/m (No. 10)
Symmetry-distinct sites (fractional):
Ba: 0.1040 0.0000 0.3946 (multiplicity 2)  4 Au 3.46-3.58, 1 Ba 3.73
Ba: 0.1408 0.5000 0.8503 (multiplicity 2)  3 Au 3.44-3.48, 1 Ba 3.83, 1 Na 3.84
Ba: 0.3536 0.5000 0.6341 (multiplicity 2)  3 Au 3.46-3.51, 1 Ba 3.83, 1 Na 3.85
Ba: 0.3904 0.0000 0.1089 (multiplicity 2)  2 Au 3.41-3.44
Na: 0.2465 0.5000 0.2458 (multiplicity 2)  8 Ba 3.84-3.93
Au: 0.0000 0.5000 0.5000 (multiplicity 1)  8 Ba 3.44-3.46
Au: 0.2614 0.0000 0.7590 (multiplicity 2)  8 Ba 3.41-3.58

Results
As for the magnetization: 0.00 μB/f.u. For the density of states at the Fermi level, the calculation gives 0.88 states/eV per atom. The calculation puts the formation enthalpy at 0 K at -0.260 eV per atom.



# 5
DFT (PBE) results for a relaxed structure of Ho3Hg5.

Unit cell a=10.0624 b=7.7305 c=10.1491 alpha=90.00 beta=90.00 gamma=90.00
Last column: nearest neighbours and their distance in Å.
Space group Cmcm (No. 63)
Symmetry-distinct sites (fractional):
Ho: 0.0000 0.0589 0.2500 (multiplicity 4)  9 Hg 3.03-3.24
Ho: 0.2140 0.5000 0.0000 (multiplicity 8)  10 Hg 3.12-3.34
Hg: 0.0000 0.2093 0.5257 (multiplicity 8)  6 Ho 3.03-3.31, 3 Hg 3.19-3.28
Hg: 0.0000 0.4629 0.2500 (multiplicity 4)  5 Ho 3.12-3.34, 8 Hg 3.15-3.42
Hg: 0.2201 0.2466 0.7500 (multiplicity 8)  4 Hg 3.15-3.25, 6 Ho 3.19-3.24

Results
As for the magnetization: 0.00 μB/f.u. For the density of states at the Fermi level, the calculation gives 0.59 states/eV per atom. The calculation puts the formation enthalpy at 0 K at -0.435 eV per atom.



# 6
DFT (PBE) results for a relaxed structure of TmReN3.

Unit cell a=11.2026 b=9.5936 c=6.2728 alpha=90.00 beta=114.10 gamma=90.00
Last column: nearest neighbours and their distance in Å.
Space group C2/c (No. 15)
Symmetry-distinct sites (fractional):
Tm: 0.0000 0.0940 0.2500 (multiplicity 4)  6 N 2.24-2.45
Tm: 0.0000 0.2819 0.7500 (multiplicity 4)  6 N 2.31-2.43
Re: 0.2084 0.4148 0.2097 (multiplicity 8)  4 N 1.81-1.88
N: 0.1115 0.1039 0.6628 (multiplicity 8)  1 Re 1.85
N: 0.1203 0.2515 0.1616 (multiplicity 8)  1 Re 1.81
N: 0.1512 0.4757 0.8989 (multiplicity 8)  2 Re 1.88

Results
As for the magnetization: 0.00 μB/f.u. For the density of states at the Fermi level, the calculation gives 0.43 states/eV per atom. The value obtained for the formation energy (no corrections) is -0.69 eV/atom.



# 7
DFT (PBE) results for a relaxed structure of AcNd12Tl6.

Unit cell a=14.0950 b=14.0950 c=11.7109 alpha=90.00 beta=90.00 gamma=120.00
Last column: nearest neighbours and their distance in Å.
Space group R-3m (No. 166, hexagonal axes)
Symmetry-distinct sites (fractional):
Ac: 0.0000 0.0000 0.0000 (multiplicity 3)  6 Tl 4.43, 18 Nd 4.62-4.78
Nd: 0.0000 0.3886 0.5000 (multiplicity 18)  4 Tl 3.10-3.24, 1 Nd 3.14
Nd: 0.0880 0.1760 0.3497 (multiplicity 18)  3 Tl 3.28-3.36
Tl: 0.0228 0.5114 0.2591 (multiplicity 18)  7 Nd 3.10-3.36

Results
As for the magnetization: 0.00 μB/f.u. For the density of states at the Fermi level, the calculation gives 1.60 states/eV per atom. The calculation puts the formation enthalpy at 0 K at -0.055 eV per atom.



# 8
DFT (PBE) results for a relaxed structure of PuInFeCo.

Unit cell a=6.4884 b=6.4884 c=6.4884 alpha=90.00 beta=90.00 gamma=90.00
Last column: nearest neighbours and their distance in Å.
Space group F-43m (No. 216)
Symmetry-distinct sites (fractional):
Pu: 0.0000 0.0000 0.0000 (multiplicity 4)  4 Fe 2.81, 4 Co 2.81
In: 0.0000 0.0000 0.5000 (multiplicity 4)  4 Co 2.81, 4 Fe 2.81
Fe: 0.2500 0.2500 0.7500 (multiplicity 4)  4 In 2.81, 4 Pu 2.81
Co: 0.2500 0.2500 0.2500 (multiplicity 4)  4 In 2.81, 4 Pu 2.81

Results
As for the magnetization: 2.01 μB/f.u. For the density of states at the Fermi level, the calculation gives 1.56 states/eV per atom. The calculation puts the formation enthalpy at 0 K at 0.012 eV per atom.



# 9
DFT (PBE) results for a relaxed structure of Ta4MnSe8.

Unit cell a=10.5273 b=10.5273 c=10.5273 alpha=90.00 beta=90.00 gamma=90.00
Last column: nearest neighbours and their distance in Å.
Space group F-43m (No. 216)
Symmetry-distinct sites (fractional):
Ta: 0.1038 0.1038 0.1038 (multiplicity 16)  6 Se 2.55-2.78
Mn: 0.0000 0.0000 0.5000 (multiplicity 4)  4 Se 2.49
Se: 0.1347 0.1347 0.8653 (multiplicity 16)  3 Ta 2.55
Se: 0.1366 0.1366 0.3634 (multiplicity 16)  1 Mn 2.49, 3 Ta 2.78

Results
As for the magnetization: 5.03 μB/f.u. For the density of states at the Fermi level, the calculation gives 0.03 states/eV per atom. The value obtained for the formation energy (no corrections) is -0.73 eV/atom.



# 10
DFT (PBE) results for a relaxed structure of CeY4Er5.

Unit cell a=17.6441 b=5.0120 c=8.5669 alpha=90.00 beta=117.38 gamma=90.00
Last column: nearest neighbours and their distance in Å.
Space group C2/m (No. 12)
Symmetry-distinct sites (fractional):
Ce: 0.0000 0.0000 0.0000 (multiplicity 2)  6 Y 3.29-3.54
Y: 0.0311 0.5000 0.2725 (multiplicity 4)  2 Ce 3.29, 6 Er 3.36-3.64, 2 Y 3.40
Y: 0.1776 0.0000 0.4228 (multiplicity 4)  4 Y 3.38-3.40, 7 Er 3.46-3.60, 1 Ce 3.54
Er: 0.0000 0.0000 0.5000 (multiplicity 2)  6 Y 3.37-3.49, 4 Er 3.61
Er: 0.1631 0.5000 0.7066 (multiplicity 4)  5 Y 3.36-3.58, 5 Er 3.44-3.61
Er: 0.1750 0.5000 0.1184 (multiplicity 4)  5 Y 3.36-3.64, 3 Er 3.44-3.57, 2 Ce 3.74

Results
As for the magnetization: 1.54 μB/f.u. For the density of states at the Fermi level, the calculation gives 1.84 states/eV per atom. The calculation puts the formation enthalpy at 0 K at 0.277 eV per atom.



# 11
DFT (PBE) results for a relaxed structure of ScPa2Te2P2.

Unit cell a=4.8440 b=4.8440 c=15.3765 alpha=90.00 beta=90.00 gamma=90.00
Last column: nearest neighbours and their distance in Å.
Space group I4/mmm (No. 139)
Symmetry-distinct sites (fractional):
Sc: 0.0000 0.0000 0.0000 (multiplicity 2)  4 P 2.42
Pa: 0.0000 0.0000 0.3962 (multiplicity 4)  4 P 2.90, 1 Pa 3.19, 1 Te 3.19
Te: 0.0000 0.0000 0.1887 (multiplicity 4)  1 Sc 2.90, 1 Pa 3.19
P: 0.0000 0.5000 0.0000 (multiplicity 4)  2 Sc 2.42

Results
As for the magnetization: 2.60 μB/f.u. For the density of states at the Fermi level, the calculation gives 1.10 states/eV per atom. The value obtained for the formation energy (no corrections) is -0.90 eV/atom.



# 12
DFT (PBE) results for a relaxed structure of TbPm3Tl4Se8.

Unit cell a=8.5457 b=8.5457 c=23.2824 alpha=90.00 beta=90.00 gamma=120.00
Last column: nearest neighbours and their distance in Å.
Space group R-3m (No. 166, hexagonal axes)
Symmetry-distinct sites (fractional):
Tb: 0.0000 0.0000 0.0000 (multiplicity 3)  6 Se 2.92
Pm: 0.0000 0.5000 0.0000 (multiplicity 9)  6 Se 2.96
Tl: 0.0000 0.0000 0.5000 (multiplicity 3)  6 Se 3.38
Tl: 0.0000 0.5000 0.5000 (multiplicity 9)  6 Se 3.34
Se: 0.0000 0.0000 0.2633 (multiplicity 6)  3 Pm 2.96
Se: 0.0049 0.5025 0.7359 (multiplicity 18)  1 Tb 2.92, 2 Pm 2.96

Results
As for the magnetization: 0.00 μB/f.u. The value obtained for the formation energy (no corrections) is -1.39 eV/atom.



no.,electronic total energy (eV per atom)
1,-3.60
2,-8.39
3,-7.03
4,-2.40
5,-2.34
6,-9.07
7,-4.03
8,-8.15
9,-7.22
10,-5.18
11,-6.96
12,-4.90